CuNiI | the Alexandria database | GGA-PBE | relaxed; density of states at the Fermi level = 1.63 states/eV/atom; SG = No. 2; raw formation energy = 0.96 eV per formula unit
1.0
-0.612 -1.764 2.489
2.640 -2.608 -1.233
5.504 9.372 4.140
Ni Cu I
2 2 2
Direct
0.272 0.271 0.522
0.728 0.729 0.478
0.413 0.910 0.663
0.587 0.090 0.337
0.421 0.424 0.170
0.579 0.576 0.830

***

TaRuIN2 | the Alexandria database | GGA-PBE | relaxed; density of states at the Fermi level = 1.24 states/eV/atom; energy above the lowest structure with this stoichiometry = 0.00 eV/f.u.; SG = No. 123; raw formation energy = 4.52 eV per formula unit
1.0
3.999 0.000 0.000
0.000 3.999 0.000
0.000 0.000 5.918
I Ta Ru N
1 1 1 2
Direct
0.000 0.000 0.500
0.000 0.000 0.000
0.500 0.500 0.500
0.500 0.000 0.000
0.000 0.500 0.000

***

Nd5SmGa2 | the Alexandria database | GGA-PBE | relaxed; formation enthalpy at 0 K = -0.159 eV/atom; density of states at the Fermi level = 1.25 states/eV/atom; SG = No. 71
1.0
-2.594 3.080 1.690
-7.286 -1.945 -1.995
-2.646 -2.844 6.765
Nd Ga Sm
5 2 1
Direct
0.651 0.148 0.550
0.349 0.852 0.450
0.000 0.500 0.500
0.651 0.550 0.148
0.349 0.450 0.852
0.715 0.785 0.785
0.285 0.215 0.215
0.000 0.000 0.000

***

Rb2BaZrS4 | the Alexandria database | GGA-PBE | relaxed; SG = No. 74; raw formation energy = -12.18 eV per formula unit
1.0
-8.063 -3.480 -0.388
2.704 -5.349 -6.430
4.603 0.715 7.981
Rb Zr S Ba
4 2 8 2
Direct
0.500 0.500 0.000
0.000 0.000 0.500
0.500 0.000 0.000
0.500 0.000 0.500
0.000 0.000 0.000
0.500 0.500 0.500
0.752 0.748 0.942
0.713 0.302 0.508
0.287 0.698 0.492
0.198 0.787 0.992
0.752 0.748 0.559
0.802 0.213 0.008
0.248 0.252 0.058
0.248 0.252 0.441
0.000 0.500 0.000
0.000 0.500 0.500

***

AlBSbI2 | the Alexandria database | GGA-PBE | relaxed; density of states at the Fermi level = 0.57 states/eV/atom; energy above the lowest structure with this stoichiometry = 0.00 eV/f.u.; SG = No. 123; raw formation energy = 3.94 eV per formula unit
1.0
-4.905 -1.638 1.752
-0.116 -3.821 -3.898
2.032 -3.003 2.882
I B Al Sb
2 1 1 1
Direct
0.000 0.500 0.000
0.500 0.000 0.000
0.000 0.000 0.000
0.500 0.500 0.500
0.000 0.000 0.500

***

HfSc2Fe | the Alexandria database | GGA-PBE | relaxed; formation enthalpy at 0 K = -0.100 eV/atom; density of states at the Fermi level = 1.09 states/eV/atom; energy above the lowest structure with this stoichiometry = 0.00 eV/f.u.; SG = No. 63
1.0
3.352 0.000 0.000
-1.677 5.505 0.000
0.000 0.000 8.552
Fe Hf Sc
2 2 4
Direct
0.263 0.526 0.250
0.737 0.474 0.750
0.931 0.862 0.250
0.069 0.138 0.750
0.361 0.721 0.934
0.361 0.721 0.566
0.639 0.279 0.434
0.639 0.279 0.066

***

InNi7P2 | the Alexandria database | GGA-PBE | relaxed; formation enthalpy at 0 K = -0.370 eV/atom; density of states at the Fermi level = 0.61 states/eV/atom; SG = No. 139
1.0
-0.391 3.608 0.752
-3.641 -0.495 0.482
3.405 -3.236 8.156
In P Ni
1 2 7
Direct
0.000 0.000 0.000
0.325 0.325 0.650
0.675 0.675 0.350
0.500 0.500 0.000
0.107 0.607 0.214
0.750 0.250 0.500
0.893 0.393 0.786
0.250 0.750 0.500
0.607 0.107 0.214
0.393 0.893 0.786

***

BaHfHg | the Alexandria database | GGA-PBE | relaxed; formation enthalpy at 0 K = 0.110 eV/atom; density of states at the Fermi level = 0.84 states/eV/atom; energy above the lowest structure with this stoichiometry = 0.00 eV/f.u.; SG = No. 156
1.0
-4.199 -1.937 -1.420
3.590 -0.083 -10.502
3.679 -2.870 1.277
Hf Ba Hg
2 2 2
Direct
0.713 0.214 0.029
0.380 0.073 0.362
0.379 0.438 0.362
0.047 0.792 0.696
0.046 0.222 0.695
0.713 0.962 0.029

***

Tb9Ho4Cd11 | the Alexandria database | GGA-PBE | relaxed; formation enthalpy at 0 K = -0.235 eV/atom; density of states at the Fermi level = 1.13 states/eV/atom; SG = No. 65
1.0
3.533 0.000 0.000
0.000 12.937 -5.059
0.000 0.432 13.884
Cd Tb Ho
11 9 4
Direct
0.000 0.370 0.630
0.000 0.822 0.178
0.000 0.220 0.220
0.000 0.587 0.948
0.000 0.052 0.413
0.000 0.178 0.822
0.000 0.948 0.587
0.000 0.413 0.052
0.000 0.780 0.780
0.000 0.000 0.000
0.000 0.630 0.370
0.500 0.620 0.154
0.500 0.794 0.977
0.500 0.977 0.794
0.500 0.023 0.206
0.500 0.154 0.620
0.500 0.206 0.023
0.500 0.500 0.500
0.500 0.846 0.380
0.500 0.380 0.846
0.500 0.579 0.749
0.500 0.421 0.251
0.500 0.251 0.421
0.500 0.749 0.579

***

CoTe2Rh | the Alexandria database | GGA-PBE | relaxed; density of states at the Fermi level = 1.05 states/eV/atom; SG = No. 160; raw formation energy = -0.28 eV per formula unit
1.0
-2.964 -1.157 -2.295
0.740 -1.844 -3.383
-0.897 -6.670 1.156
Te Rh Co
2 1 1
Direct
0.214 0.214 0.359
0.030 0.030 0.910
0.771 0.771 0.688
0.486 0.486 0.543

***

SiRuBr2 | the Alexandria database | GGA-PBE | relaxed; density of states at the Fermi level = 0.96 states/eV/atom; energy above the lowest structure with this stoichiometry = 3.30 eV/f.u.; SG = No. 65; raw formation energy = 2.96 eV per formula unit
1.0
3.317 -0.007 0.000
-1.859 2.747 0.000
0.000 0.000 9.112
Si Br Ru
1 2 1
Direct
0.500 0.500 0.750
0.000 0.000 0.031
0.000 0.000 0.469
0.500 0.500 0.250

***

LaIrOsC2 | the Alexandria database | GGA-PBE | relaxed; formation enthalpy at 0 K = 0.673 eV/atom; density of states at the Fermi level = 0.68 states/eV/atom; SG = No. 123
1.0
3.982 0.000 0.000
0.000 5.351 0.000
0.000 0.000 3.982
C Ir Os La
2 1 1 1
Direct
0.500 0.000 0.000
0.000 0.000 0.500
0.000 0.500 0.000
0.000 0.000 0.000
0.500 0.500 0.500

***

| no. | energy (eV/f.u.) |
| --- | --- |
| 1 | -10.47 |
| 2 | -34.81 |
| 3 | -35.89 |
| 4 | -41.10 |
| 5 | -13.70 |
| 6 | -31.48 |
| 7 | -57.72 |
| 8 | -11.85 |
| 9 | -75.68 |
| 10 | -21.02 |
| 11 | -15.09 |
| 12 | -40.10 |